Record 1
An optimized crystal structure of Y2HoTe4. Source: Alexandria via LeMat-Bulk, functional PBE.

It has space group C2/m (No. 12), with a = 16.229 Å, b = 4.339 Å, c = 7.578 Å, α = 90.00°, β = 117.47° and γ = 90.00°. The asymmetric unit holds Y at (0.244, 0.000, 0.229), Ho at (0.000, 0.500, 0.500), Te at (0.119, 0.500, 0.950) and Te at (0.128, 0.000, 0.466).

The uncorrected energy comes out at -5.691 eV per atom. The uncorrected formation energy is -1395 meV per atom. As for the energy above the most stable polymorph in this dataset: 0 meV per atom. As for the magnetic moment: 0.00 Bohr magnetons per cell.

=====

Record 2
An optimized crystal structure of YHo5Te6. Source: Alexandria via LeMat-Bulk, functional PBE.

It has space group C2/m (No. 12), with a = 7.512 Å, b = 13.062 Å, c = 7.509 Å, α = 90.00°, β = 109.60° and γ = 90.00°. The asymmetric unit holds Y at (0.000, 0.000, 0.000), Ho at (0.000, 0.164, 0.500), Ho at (0.000, 0.334, 0.000), Ho at (0.000, 0.500, 0.500), Te at (0.248, 0.332, 0.748) and Te at (0.248, 0.500, 0.249).

The uncorrected energy comes out at -5.273 eV per atom. The uncorrected formation energy is -1256 meV per atom. As for the magnetic moment: 0.00 Bohr magnetons per cell.

=====

Record 3
An optimized crystal structure of Y5HoTe6. Source: Alexandria via LeMat-Bulk, functional PBE.

It has space group C2/m (No. 12), with a = 7.541 Å, b = 13.112 Å, c = 7.549 Å, α = 90.00°, β = 109.57° and γ = 90.00°. The asymmetric unit holds Y at (0.000, 0.000, 0.000), Y at (0.000, 0.167, 0.500), Y at (0.000, 0.331, 0.000), Ho at (0.000, 0.500, 0.500), Te at (0.248, 0.500, 0.250) and Te at (0.249, 0.335, 0.749).

The uncorrected energy comes out at -5.946 eV per atom. The uncorrected formation energy is -1300 meV per atom. As for the magnetic moment: 0.00 Bohr magnetons per cell.

=====

Record 4
An optimized crystal structure of YHo3Te3. Source: Alexandria via LeMat-Bulk, functional PBE.

It has space group R-3 (No. 148, hexagonal axes), with a = 8.9946 Å, b = 8.9946 Å, c = 17.4734 Å, α = 90.00°, β = 90.00° and γ = 120.00°. The asymmetric unit holds Y at (0.0000, 0.0000, 0.1989), Ho at (0.0106, 0.2414, 0.4121) and Te at (0.0287, 0.4044, 0.5798).

The uncorrected energy comes out at -5.227 eV per atom. The uncorrected formation energy is -995 meV per atom. As for the magnetic moment: 0.00 Bohr magnetons per cell.

=====

Record 5
An optimized crystal structure of Y2Ho2Te3. Source: Alexandria via LeMat-Bulk, functional PBE.

It has space group C2/m (No. 12), with a = 14.202 Å, b = 4.150 Å, c = 7.337 Å, α = 90.00°, β = 101.50° and γ = 90.00°. The asymmetric unit holds Y at (0.115, 0.000, 0.321), Ho at (0.111, 0.500, 0.901), Te at (0.000, 0.500, 0.500) and Te at (0.232, 0.000, 0.740).

The uncorrected energy comes out at -5.546 eV per atom. The uncorrected formation energy is -1044 meV per atom. As for the magnetic moment: 0.00 Bohr magnetons per cell.

=====

Record 6
An optimized crystal structure of YHo3Te. Source: Alexandria via LeMat-Bulk, functional PBE.

It has space group C2/m (No. 12), with a = 12.060 Å, b = 5.779 Å, c = 9.047 Å, α = 90.00°, β = 95.99° and γ = 90.00°. The asymmetric unit holds Y at (0.081, 0.000, 0.152), Ho at (0.057, 0.500, 0.341), Ho at (0.127, 0.000, 0.636), Ho at (0.138, 0.500, 0.956) and Te at (0.212, 0.500, 0.630).

The uncorrected energy comes out at -4.997 eV per atom. The uncorrected formation energy is -329 meV per atom. As for the magnetic moment: 0.00 Bohr magnetons per cell.